#one
Density functional theory data (PBE) for an optimized crystal structure of BaCuSi2O6.

abc: 7.556 7.556 7.556
angles: 123.21 123.21 84.52
Site moments in Bohr magnetons follow the coordinates.
Atoms (fractional coordinates):
Ba (0.250, 0.750, 0.500)  0.00
Ba (0.750, 0.250, 0.500)  0.00
Cu (0.122, 0.122, 0.000)  0.60
Cu (0.878, 0.878, 0.000)  0.60
Si (0.726, 0.274, 0.000)  0.00
Si (0.274, 0.274, 0.548)  0.00
Si (0.274, 0.726, 0.000)  0.00
Si (0.726, 0.726, 0.452)  0.00
O (0.500, 0.235, 0.735)  0.01
O (0.682, 0.067, 0.000)  0.08
O (0.067, 0.067, 0.385)  0.08
O (0.235, 0.500, 0.735)  0.01
O (0.318, 0.933, 0.000)  0.08
O (0.500, 0.765, 0.265)  0.01
O (0.765, 0.500, 0.265)  0.01
O (0.067, 0.682, 0.000)  0.08
O (0.318, 0.318, 0.385)  0.08
O (0.933, 0.933, 0.615)  0.08
O (0.933, 0.318, 0.000)  0.08
O (0.682, 0.682, 0.615)  0.08

Crystal system: tetragonal
Mass density, g/cm³: 4.1
Magnetization, μB per cell: 2.00

#two
Density functional theory data (PBE) for an optimized crystal structure of BaCuSi2O6.

abc: 10.062 10.062 13.503
angles: 111.88 111.88 90.00
Site moments in Bohr magnetons follow the coordinates.
Atoms (fractional coordinates):
Ba (0.249, 0.235, 0.997)  0.00
Ba (0.248, 0.735, 0.997)  0.00
Ba (0.485, 0.498, 0.497)  0.00
Ba (0.985, 0.499, 0.497)  0.00
Ba (0.748, 0.762, 0.997)  0.00
Ba (0.749, 0.262, 0.997)  0.00
Ba (0.012, 0.999, 0.497)  0.00
Ba (0.512, 0.998, 0.497)  0.00
Cu (0.931, 0.431, 0.863)  0.60
Cu (0.431, 0.931, 0.863)  0.60
Cu (0.681, 0.681, 0.363)  0.60
Cu (0.181, 0.181, 0.363)  0.60
Cu (0.815, 0.315, 0.630)  0.60
Cu (0.315, 0.815, 0.630)  0.60
Cu (0.565, 0.565, 0.130)  0.60
Cu (0.065, 0.065, 0.130)  0.60
Si (0.598, 0.375, 0.748)  0.00
Si (0.650, 0.875, 0.748)  0.00
Si (0.625, 0.900, 0.248)  0.00
Si (0.125, 0.848, 0.248)  0.00
Si (0.150, 0.373, 0.748)  0.00
Si (0.098, 0.873, 0.748)  0.00
Si (0.623, 0.348, 0.248)  0.00
Si (0.123, 0.400, 0.248)  0.00
Si (0.899, 0.624, 0.246)  0.00
Si (0.847, 0.124, 0.246)  0.00
Si (0.874, 0.097, 0.746)  0.00
Si (0.374, 0.149, 0.746)  0.00
Si (0.347, 0.621, 0.246)  0.00
Si (0.399, 0.121, 0.246)  0.00
Si (0.871, 0.649, 0.746)  0.00
Si (0.371, 0.597, 0.746)  0.00
O (0.481, 0.482, 0.711)  0.01
O (0.729, 0.982, 0.711)  0.01
O (0.732, 0.979, 0.211)  0.01
O (0.232, 0.731, 0.211)  0.01
O (0.229, 0.228, 0.711)  0.01
O (0.981, 0.728, 0.711)  0.01
O (0.478, 0.231, 0.211)  0.01
O (0.978, 0.479, 0.211)  0.01
O (0.873, 0.647, 0.362)  0.08
O (0.990, 0.147, 0.362)  0.08
O (0.897, 0.240, 0.862)  0.08
O (0.397, 0.123, 0.862)  0.08
O (0.490, 0.715, 0.362)  0.08
O (0.373, 0.215, 0.362)  0.08
O (0.965, 0.623, 0.862)  0.08
O (0.465, 0.740, 0.862)  0.08
O (0.757, 0.600, 0.128)  0.08
O (0.871, 0.100, 0.128)  0.08
O (0.850, 0.121, 0.628)  0.08
O (0.350, 0.007, 0.628)  0.08
O (0.371, 0.528, 0.128)  0.08
O (0.257, 0.028, 0.128)  0.08
O (0.778, 0.507, 0.628)  0.08
O (0.278, 0.621, 0.628)  0.08
O (0.624, 0.282, 0.631)  0.08
O (0.507, 0.782, 0.631)  0.08
O (0.532, 0.757, 0.131)  0.08
O (0.032, 0.874, 0.131)  0.08
O (0.007, 0.349, 0.631)  0.08
O (0.124, 0.849, 0.631)  0.08
O (0.599, 0.374, 0.131)  0.08
O (0.099, 0.257, 0.131)  0.08
O (0.740, 0.469, 0.865)  0.08
O (0.626, 0.969, 0.865)  0.08
O (0.719, 0.876, 0.365)  0.08
O (0.219, 0.990, 0.365)  0.08
O (0.126, 0.396, 0.865)  0.08
O (0.240, 0.896, 0.865)  0.08
O (0.646, 0.490, 0.365)  0.08
O (0.146, 0.376, 0.365)  0.08
O (0.015, 0.769, 0.283)  0.01
O (0.768, 0.269, 0.283)  0.01
O (0.019, 0.018, 0.783)  0.01
O (0.519, 0.265, 0.783)  0.01
O (0.268, 0.514, 0.283)  0.01
O (0.515, 0.014, 0.283)  0.01
O (0.764, 0.765, 0.783)  0.01
O (0.264, 0.518, 0.783)  0.01

Crystal system: tetragonal
Mass density, g/cm³: 4.0
Magnetization, μB per cell: 8.00

Stability, highest: #two

#one
Density functional theory data (PBE) for an optimized crystal structure of BaTaCuO5.

abc: 6.022 6.022 7.602
angles: 103.21 103.21 107.85
Site moments in Bohr magnetons follow the coordinates.
Atoms (fractional coordinates):
Ba (0.331, 0.669, 0.250)  0.00
Ba (0.669, 0.331, 0.750)  0.00
Ta (0.000, 0.000, 0.500)  -0.03
Ta (0.000, 0.000, 0.000)  -0.03
Cu (0.685, 0.315, 0.250)  0.79
Cu (0.315, 0.685, 0.750)  0.79
O (0.056, 0.944, 0.250)  0.09
O (0.944, 0.056, 0.750)  0.09
O (0.892, 0.277, 0.097)  0.23
O (0.108, 0.723, 0.903)  0.23
O (0.723, 0.108, 0.403)  0.23
O (0.277, 0.892, 0.597)  0.23
O (0.765, 0.647, 0.409)  0.27
O (0.235, 0.353, 0.591)  0.27
O (0.353, 0.235, 0.091)  0.27
O (0.647, 0.765, 0.909)  0.27

Crystal system: monoclinic
Mass density, g/cm³: 6.3
Magnetization, μB per cell: 4.06

#two
Density functional theory data (PBE) for an optimized crystal structure of BaTaCuO5.

abc: 3.806 3.806 9.469
angles: 90.00 90.00 90.00
Site moments in Bohr magnetons follow the coordinates.
Atoms (fractional coordinates):
Ba (0.500, 0.500, 0.026)  0.00
Ta (0.000, 0.000, 0.719)  0.00
Cu (0.000, 0.000, 0.263)  0.03
O (0.500, 0.000, 0.676)  0.00
O (0.000, 0.500, 0.676)  0.00
O (0.500, 0.000, 0.225)  0.07
O (0.000, 0.500, 0.225)  0.07
O (0.000, 0.000, 0.915)  0.00

Crystal system: tetragonal
Mass density, g/cm³: 5.6
Magnetization, μB per cell: 0.18

Stability, highest: #one

#one
Density functional theory data (PBE) for an optimized crystal structure of Ba2CuTeO6.

abc: 5.949 5.949 10.343
angles: 73.99 73.99 58.40
Site moments in Bohr magnetons follow the coordinates.
Atoms (fractional coordinates):
Ba (0.872, 0.872, 0.373)  0.00
Ba (0.128, 0.128, 0.627)  0.00
Ba (0.284, 0.284, 0.143)  0.00
Ba (0.716, 0.716, 0.857)  0.00
Cu (0.408, 0.408, 0.783)  0.57
Cu (0.592, 0.592, 0.217)  0.57
Te (0.000, 0.000, 0.000)  0.03
Te (0.500, 0.500, 0.500)  -0.01
O (0.638, 0.638, 0.591)  0.01
O (0.362, 0.362, 0.409)  0.01
O (0.709, 0.192, 0.889)  0.04
O (0.831, 0.374, 0.366)  0.11
O (0.185, 0.185, 0.876)  0.04
O (0.808, 0.291, 0.111)  0.04
O (0.374, 0.831, 0.366)  0.11
O (0.192, 0.709, 0.889)  0.04
O (0.169, 0.626, 0.634)  0.11
O (0.291, 0.808, 0.111)  0.04
O (0.815, 0.815, 0.124)  0.04
O (0.626, 0.169, 0.634)  0.11

Crystal system: monoclinic
Mass density, g/cm³: 6.3
Magnetization, μB per cell: 1.96

#two
Density functional theory data (PBE) for an optimized crystal structure of Ba2CuTeO6.

abc: 6.009 6.009 6.009
angles: 124.02 124.02 83.17
Site moments in Bohr magnetons follow the coordinates.
Atoms (fractional coordinates):
Ba (0.250, 0.750, 0.500)  0.00
Ba (0.750, 0.250, 0.500)  0.00
Cu (0.000, 0.000, 0.000)  0.54
Te (0.500, 0.500, 0.000)  0.03
O (0.281, 0.223, 0.504)  0.07
O (0.777, 0.281, 0.058)  0.07
O (0.223, 0.719, 0.942)  0.07
O (0.719, 0.777, 0.496)  0.07
O (0.716, 0.716, 0.000)  0.03
O (0.284, 0.284, 0.000)  0.03

Crystal system: tetragonal
Mass density, g/cm³: 6.5
Magnetization, μB per cell: 0.94

Stability, highest: #one

#one
Density functional theory data (PBE) for an optimized crystal structure of BaTlCuO2.

abc: 4.592 6.159 4.592
angles: 90.00 90.00 90.00
Atoms (fractional coordinates):
O (0.000, 0.000, 0.500)
O (0.500, 0.000, 0.000)
Tl (0.500, 0.500, 0.500)
Ba (0.000, 0.000, 0.000)
Cu (0.000, 0.500, 0.000)

Crystal system: tetragonal
Mass density, g/cm³: 5.6
Magnetization, μB per cell: 0.00

#two
Density functional theory data (PBE) for an optimized crystal structure of BaTlCuO2.

abc: 4.141 6.919 7.084
angles: 90.00 90.00 107.41
Atoms (fractional coordinates):
Ba (0.700, 0.400, 0.750)
Ba (0.300, 0.600, 0.250)
Tl (0.427, 0.854, 0.750)
Tl (0.573, 0.146, 0.250)
Cu (0.000, 0.000, 0.000)
Cu (0.000, 0.000, 0.500)
O (0.141, 0.281, 0.996)
O (0.859, 0.719, 0.004)
O (0.141, 0.281, 0.504)
O (0.859, 0.719, 0.496)

Crystal system: orthorhombic
Mass density, g/cm³: 7.5
Magnetization, μB per cell: 0.00

Stability, highest: #two

#one
Density functional theory data (PBE) for an optimized crystal structure of BaTm2CuO5.

abc: 6.454 6.454 7.367
angles: 115.98 115.98 90.00
Site moments in Bohr magnetons follow the coordinates.
Atoms (fractional coordinates):
Ba (0.250, 0.250, 0.500)  -0.01
Ba (0.750, 0.750, 0.500)  -0.01
Tm (0.173, 0.327, 0.000)  0.02
Tm (0.673, 0.173, 0.000)  0.02
Tm (0.327, 0.827, 0.000)  0.02
Tm (0.827, 0.673, 0.000)  0.02
Cu (0.250, 0.750, 0.500)  0.50
Cu (0.750, 0.250, 0.500)  0.50
O (0.980, 0.480, 0.244)  0.10
O (0.736, 0.236, 0.756)  0.10
O (0.020, 0.520, 0.756)  0.10
O (0.236, 0.020, 0.756)  0.10
O (0.520, 0.736, 0.756)  0.10
O (0.764, 0.980, 0.244)  0.10
O (0.480, 0.264, 0.244)  0.10
O (0.264, 0.764, 0.244)  0.10
O (0.500, 0.500, 0.000)  0.07
O (0.000, 0.000, 0.000)  0.07

Crystal system: tetragonal
Mass density, g/cm³: 8.5
Magnetization, μB per cell: 2.05

#two
Density functional theory data (PBE) for an optimized crystal structure of BaTm2CuO5.

abc: 5.649 7.142 12.130
angles: 90.00 90.00 90.00
Site moments in Bohr magnetons follow the coordinates.
Atoms (fractional coordinates):
Ba (0.250, 0.569, 0.404)  0.00
Ba (0.750, 0.431, 0.596)  0.00
Ba (0.750, 0.069, 0.096)  0.00
Ba (0.250, 0.931, 0.904)  0.00
Tm (0.250, 0.103, 0.574)  0.06
Tm (0.750, 0.897, 0.426)  0.06
Tm (0.750, 0.603, 0.926)  0.06
Tm (0.250, 0.397, 0.074)  0.06
Tm (0.250, 0.386, 0.787)  -0.02
Tm (0.750, 0.614, 0.213)  -0.02
Tm (0.750, 0.886, 0.713)  -0.02
Tm (0.250, 0.114, 0.287)  -0.02
Cu (0.250, 0.782, 0.160)  0.54
Cu (0.750, 0.218, 0.840)  0.54
Cu (0.750, 0.282, 0.340)  0.54
Cu (0.250, 0.718, 0.660)  0.54
O (0.250, 0.412, 0.601)  0.00
O (0.750, 0.588, 0.399)  0.00
O (0.750, 0.912, 0.899)  0.00
O (0.250, 0.088, 0.101)  0.00
O (0.002, 0.858, 0.272)  0.10
O (0.502, 0.142, 0.728)  0.10
O (0.998, 0.358, 0.228)  0.10
O (0.498, 0.642, 0.772)  0.10
O (0.998, 0.142, 0.728)  0.10
O (0.498, 0.858, 0.272)  0.10
O (0.002, 0.642, 0.772)  0.10
O (0.502, 0.358, 0.228)  0.10
O (0.497, 0.659, 0.068)  0.09
O (0.997, 0.341, 0.932)  0.09
O (0.503, 0.159, 0.432)  0.09
O (0.003, 0.841, 0.568)  0.09
O (0.997, 0.159, 0.432)  0.09
O (0.497, 0.841, 0.568)  0.09
O (0.003, 0.659, 0.068)  0.09
O (0.503, 0.341, 0.932)  0.09

Crystal system: orthorhombic
Mass density, g/cm³: 8.4
Magnetization, μB per cell: 3.90

Stability, highest: #two

#one
Density functional theory data (PBE) for an optimized crystal structure of Ba2YCuO5.

abc: 3.601 7.838 11.185
angles: 90.00 90.00 103.28
Site moments in Bohr magnetons follow the coordinates.
Atoms (fractional coordinates):
Ba (0.870, 0.740, 0.834)  0.00
Ba (0.115, 0.230, 0.686)  0.00
Ba (0.130, 0.260, 0.334)  0.00
Ba (0.885, 0.770, 0.186)  0.00
Y (0.801, 0.602, 0.532)  -0.01
Y (0.199, 0.398, 0.032)  -0.01
Cu (0.551, 0.101, 0.935)  0.77
Cu (0.449, 0.899, 0.435)  0.77
O (0.339, 0.679, 0.012)  0.04
O (0.676, 0.352, 0.892)  0.27
O (0.498, 0.995, 0.783)  0.35
O (0.299, 0.599, 0.658)  0.03
O (0.960, 0.919, 0.492)  0.35
O (0.661, 0.321, 0.512)  0.04
O (0.324, 0.648, 0.392)  0.27
O (0.502, 0.005, 0.283)  0.35
O (0.701, 0.401, 0.158)  0.03
O (0.040, 0.081, 0.992)  0.35

Crystal system: orthorhombic
Mass density, g/cm³: 5.5
Magnetization, μB per cell: 4.05

#two
Density functional theory data (PBE) for an optimized crystal structure of Ba2YCuO5.

abc: 6.031 6.031 7.968
angles: 90.00 90.00 90.00
Site moments in Bohr magnetons follow the coordinates.
Atoms (fractional coordinates):
Y (0.500, 0.500, 0.500)  0.03
Y (0.000, 0.000, 0.000)  0.01
O (0.275, 0.275, 0.000)  0.00
O (0.725, 0.725, 0.000)  0.00
O (0.725, 0.275, 0.000)  0.00
O (0.275, 0.725, 0.000)  0.00
O (0.000, 0.000, 0.266)  0.01
O (0.000, 0.000, 0.734)  0.01
O (0.250, 0.250, 0.500)  0.07
O (0.750, 0.750, 0.500)  0.07
O (0.750, 0.250, 0.500)  0.07
O (0.250, 0.750, 0.500)  0.07
Ba (0.000, 0.500, 0.252)  0.00
Ba (0.000, 0.500, 0.748)  0.00
Ba (0.500, 0.000, 0.252)  0.00
Ba (0.500, 0.000, 0.748)  0.00
Cu (0.000, 0.000, 0.500)  0.29
Cu (0.500, 0.500, 0.000)  0.00

Crystal system: tetragonal
Mass density, g/cm³: 5.8
Magnetization, μB per cell: 0.64

Stability, highest: #one

#one
Density functional theory data (PBE) for an optimized crystal structure of BaCuOs.

abc: 4.731 4.731 4.731
angles: 60.00 60.00 60.00
Site moments in Bohr magnetons follow the coordinates.
Atoms (fractional coordinates):
Ba (0.500, 0.500, 0.500)  -0.04
Cu (0.750, 0.750, 0.750)  0.06
Os (0.000, 0.000, 0.000)  1.18

Crystal system: cubic
Mass density, g/cm³: 8.7
Magnetization, μB per cell: 1.22

#two
Density functional theory data (PBE) for an optimized crystal structure of BaCuOs.

abc: 4.216 4.216 4.860
angles: 90.00 90.00 120.00
Site moments in Bohr magnetons follow the coordinates.
Atoms (fractional coordinates):
Ba (0.000, 0.000, 0.000)  -0.02
Cu (0.667, 0.333, 0.500)  0.12
Os (0.333, 0.667, 0.500)  0.75

Crystal system: hexagonal
Mass density, g/cm³: 8.7
Magnetization, μB per cell: 0.86

#three
Density functional theory data (PBE) for an optimized crystal structure of BaCuOs.

abc: 6.076 6.076 6.076
angles: 146.98 147.02 47.36
Atoms (fractional coordinates):
Ba (0.997, 0.997, 0.000)
Cu (0.722, 0.722, 0.000)
Os (0.281, 0.281, 0.000)

Crystal system: tetragonal
Mass density, g/cm³: 9.8
Magnetization, μB per cell: 0.00

#four
Density functional theory data (PBE) for an optimized crystal structure of BaCuOs.

abc: 4.937 4.937 4.937
angles: 60.00 60.00 60.00
Site moments in Bohr magnetons follow the coordinates.
Atoms (fractional coordinates):
Ba (0.750, 0.750, 0.750)  0.00
Cu (0.000, 0.000, 0.000)  0.00
Os (0.500, 0.500, 0.500)  1.38

Crystal system: cubic
Mass density, g/cm³: 7.6
Magnetization, μB per cell: 1.43

Stability, highest: #two